The following is a meta-GGA SCAN calculation of LaSiTe2I at its PBEsol-relaxed geometry, from the Alexandria database.

Values from the calculation:
For the volume, the calculation gives 222 Å³/cell. As for the crystal system: tetragonal. The calculation puts the density at 4.11 Mg/m³. The energy relative to the elements, uncorrected is 12 kJ per mole of atoms.

Unit cell a=5.9668 b=6.0989 c=6.0989 alpha=90.00 beta=90.00 gamma=90.00
Each line ends with the local moment (μB).
Fractional positions:
I: 0.5000 0.0000 0.0000  0.00
Si: 0.5000 0.5000 0.5000  0.33
Te: 0.0000 0.0000 0.5000  -0.28
Te: 0.0000 0.5000 0.0000  -0.28
La: 0.0000 0.0000 0.0000  0.00